Computed, not measured: a geometry-optimized Li2Co3Se4O12 structure at the PBE+U level of DFT.

Cell: 8.022 9.239 7.733 Å, 90.00 115.87 90.00°
Space group P2_1/c (No. 14)
Inequivalent atoms, fractional coordinates:
1 Li 0.102 0.142 0.423
2 Co 0.000 0.000 0.000
3 Co 0.289 0.011 0.827
4 Se 0.177 0.682 0.877
5 Se 0.410 0.173 0.270
6 O 0.041 0.150 0.816
7 O 0.140 0.602 0.058
8 O 0.167 0.634 0.430
9 O 0.215 0.080 0.244
10 O 0.328 0.162 0.663
11 O 0.462 0.100 0.093

- M_tot (μB/f.u.) = 9.0
- energy (Ry per atom) = -0.407